## GdVF2 (PBE with a Hubbard U)

Data for an optimized crystal structure of GdVF2.

abc: 3.5936 3.5936 6.6739
angles: 74.38 74.38 60.00
Fractional coordinates of all 4 atoms:
F: 0.1264 0.1264 0.6207
F: 0.8736 0.8736 0.3793
Gd: 0.0000 0.0000 0.0000
V: 0.5000 0.5000 0.5000

Values from the calculation:
The raw total energy comes out at -32.2 eV per cell.